Entry from the Alexandria database: crystalline CaPmCrO4 at its relaxed geometry (PBE+U).

Cell: 6.449 6.624 6.927 Å, 121.53 90.00 119.13°
Each line ends with the local moment (μB).
Fractional positions:
O 0.237 0.945 0.722  -0.01
Pm 0.500 0.000 0.000  0.00
O 0.752 0.504 0.704  -0.04
O 0.763 0.055 0.278  -0.01
O 0.248 0.496 0.296  -0.04
O 0.752 0.504 0.300  -0.04
Pm 0.500 0.000 0.500  0.00
O 0.708 0.945 0.722  -0.01
Cr 0.500 0.500 0.500  3.01
Ca 0.881 0.762 0.131  0.01
O 0.292 0.055 0.278  -0.01
Ca 0.119 0.238 0.869  0.01
Cr 0.000 0.500 0.500  3.01
O 0.248 0.496 0.700  -0.04

Summary:
SG   Imma, No. 74
DOS(E_F)   0.00 states/eV/f.u.
Electronic total energy   -105.454 eV for the cell shown